(1)
DFT (PBE) results for a relaxed structure of Sm4YEr5.

Unit cell a=10.287 b=10.287 c=6.221 alpha=90.00 beta=90.00 gamma=90.00
Space group I4 (No. 79)
One atom of each set of equivalent atoms:
Sm1 0.047 0.348 0.000
Y1 0.000 0.000 0.231
Er1 0.000 0.000 0.765
Er2 0.150 0.230 0.502

Properties
total magnetization = 0.0 Bohr magnetons per cell
polymorph energy (0 for the lowest one) = 104 meV per atom
mass density = 7.70 Mg/m³
ΔE_f = 0.298 eV per atom
Fermi-level density of states = 28.8 states/eV/cell


(2)
DFT (PBE) results for a relaxed structure of Sm4Y8Er.

Unit cell a=11.0497 b=11.0497 c=13.4962 alpha=90.00 beta=90.00 gamma=120.00
Space group R-3m (No. 166, hexagonal axes)
One atom of each set of equivalent atoms:
Sm1 0.0000 0.0000 0.0000
Sm2 0.0000 0.5000 0.0000
Y1 0.0000 0.0000 0.2407
Y2 0.0118 0.5059 0.7465
Er1 0.0000 0.0000 0.5000

Properties
total magnetization = 3.5 Bohr magnetons per cell
mass density = 5.17 Mg/m³
ΔE_f = 0.508 eV per atom
Fermi-level density of states = 61.0 states/eV/cell